1.
Material: CaGdEr
Method: DFT, PBE-GGA
State: relaxed

It has space group I4mm (No. 107), with a = 3.654 Å, b = 3.654 Å, c = 15.468 Å, α = 90.00°, β = 90.00° and γ = 90.00°. The inequivalent atoms are Ca at (0.000, 0.000, 0.000), Gd at (0.000, 0.000, 0.320) and Er at (0.000, 0.000, 0.673).

The calculation puts the energy above the lowest structure with this stoichiometry at 0.0 meV per atom.

---

2.
Material: ThGaPt6
Method: DFT, PBE-GGA
State: relaxed

It has space group P4/mmm (No. 123), with a = 4.165 Å, b = 4.165 Å, c = 7.969 Å, α = 90.00°, β = 90.00° and γ = 90.00°. The inequivalent atoms are Th at (0.000, 0.000, 0.000), Ga at (0.000, 0.000, 0.500), Pt at (0.000, 0.500, 0.269), Pt at (0.500, 0.500, 0.000) and Pt at (0.500, 0.500, 0.500).

Its raw total energy is -52.7 eV for the cell shown.

---

3.
Material: AcPm3Pu2Te6
Method: DFT, PBE-GGA
State: relaxed

It has space group C2/m (No. 12), with a = 7.778 Å, b = 13.472 Å, c = 7.845 Å, α = 90.00°, β = 109.36° and γ = 90.00°. The inequivalent atoms are Ac at (0.000, 0.000, 0.000), Pm at (0.000, 0.160, 0.500), Pm at (0.000, 0.500, 0.500), Pu at (0.000, 0.332, 0.000), Te at (0.236, 0.500, 0.249) and Te at (0.242, 0.327, 0.744).

For the formation energy without anion corrections, the calculation gives -15.86 eV/f.u.

---

4.
Material: IrBrCl2
Method: DFT, PBE-GGA
State: relaxed

It has space group Immm (No. 71), with a = 3.239 Å, b = 5.161 Å, c = 12.486 Å, α = 90.00°, β = 90.00° and γ = 90.00°. The inequivalent atoms are Ir at (0.000, 0.000, 0.000), Br at (0.000, 0.000, 0.500) and Cl at (0.000, 0.500, 0.360).

For the formation energy without anion corrections, the calculation gives 0.57 eV/f.u. The calculation puts the energy above the lowest structure with this stoichiometry at 549.1 meV per atom.

---

5.
Material: Rb3Tb3BiSe8
Method: DFT, PBE-GGA
State: relaxed

It has space group C2/m (No. 12), with a = 14.588 Å, b = 8.413 Å, c = 9.520 Å, α = 90.00°, β = 120.78° and γ = 90.00°. The inequivalent atoms are Rb at (0.000, 0.000, 0.000), Rb at (0.250, 0.250, 0.000), Tb at (0.000, 0.500, 0.500), Tb at (0.250, 0.250, 0.500), Bi at (0.000, 0.000, 0.500), Se at (0.019, 0.253, 0.304), Se at (0.232, 0.500, 0.695) and Se at (0.234, 0.000, 0.696).

For the formation energy without anion corrections, the calculation gives -21.37 eV/f.u.

---

6.
Material: PPdCl2
Method: DFT, PBE-GGA
State: relaxed

It has space group R-3m (No. 166, hexagonal axes), with a = 3.3865 Å, b = 3.3865 Å, c = 24.2964 Å, α = 90.00°, β = 90.00° and γ = 120.00°. The inequivalent atoms are P at (0.0000, 0.0000, 0.0000), Pd at (0.0000, 0.0000, 0.5000) and Cl at (0.0000, 0.0000, 0.0947).

For the formation energy without anion corrections, the calculation gives 1.02 eV/f.u. The calculation puts the energy above the lowest structure with this stoichiometry at 0.0 meV per atom.

---

7.
Material: CaMg2Ta
Method: DFT, PBE-GGA
State: relaxed

It has space group P4/mmm (No. 123), with a = 3.112 Å, b = 3.112 Å, c = 9.572 Å, α = 90.00°, β = 90.00° and γ = 90.00°. The inequivalent atoms are Ca at (0.000, 0.000, 0.000), Mg at (0.500, 0.500, 0.282) and Ta at (0.000, 0.000, 0.500).

Its raw total energy is -15.9 eV for the cell shown.

---

8.
Material: Na14InPb
Method: DFT, PBE-GGA
State: relaxed

It has space group Cmmm (No. 65), with a = 10.341 Å, b = 10.366 Å, c = 10.001 Å, α = 90.00°, β = 90.00° and γ = 90.00°. The inequivalent atoms are Na at (0.000, 0.000, 0.000), Na at (0.000, 0.250, 0.274), Na at (0.000, 0.500, 0.000), Na at (0.250, 0.000, 0.273), Na at (0.250, 0.250, 0.000), Na at (0.250, 0.250, 0.500), In at (0.000, 0.000, 0.500) and Pb at (0.000, 0.500, 0.500).

Its raw total energy is -50.8 eV for the cell shown.

---

9.
Material: ZrCr2Si
Method: DFT, PBE-GGA
State: relaxed

It has space group R3m (No. 160, hexagonal axes), with a = 2.8924 Å, b = 2.8924 Å, c = 25.0151 Å, α = 90.00°, β = 90.00° and γ = 120.00°. The inequivalent atoms are Zr at (0.0000, 0.0000, 0.0000), Cr at (0.0000, 0.0000, 0.2374), Cr at (0.0000, 0.0000, 0.5042) and Si at (0.0000, 0.0000, 0.7625).

For the formation energy without anion corrections, the calculation gives 0.96 eV/f.u.

---

10.
Material: MnNb2B
Method: DFT, PBE-GGA
State: relaxed

It has space group I-42d (No. 122), with a = 6.784 Å, b = 6.784 Å, c = 5.131 Å, α = 90.00°, β = 90.00° and γ = 90.00°. The inequivalent atoms are Mn at (0.000, 0.000, 0.000), Nb at (0.206, 0.250, 0.625) and B at (0.000, 0.000, 0.500).

Its raw total energy is -138.1 eV for the cell shown.

---

11.
Material: HoTm3Ru
Method: DFT, PBE-GGA
State: relaxed

It has space group C2/m (No. 12), with a = 11.556 Å, b = 8.440 Å, c = 7.888 Å, α = 90.00°, β = 132.87° and γ = 90.00°. The inequivalent atoms are Ho at (0.054, 0.000, 0.346), Tm at (0.054, 0.500, 0.259), Tm at (0.249, 0.304, 0.794) and Ru at (0.249, 0.500, 0.122).

The calculation puts the energy above the lowest structure with this stoichiometry at 0.0 meV per atom.

---

12.
Material: YPaCuPd
Method: DFT, PBE-GGA
State: relaxed

It has space group F-43m (No. 216), with a = 6.995 Å, b = 6.995 Å, c = 6.995 Å, α = 90.00°, β = 90.00° and γ = 90.00°. The inequivalent atoms are Y at (0.000, 0.000, 0.000), Pa at (0.000, 0.000, 0.500), Cu at (0.250, 0.250, 0.750) and Pd at (0.250, 0.250, 0.250).

Its raw total energy is -104.6 eV for the cell shown.

---

Copy entry 10 word for word.
Material: MnNb2B
Method: DFT, PBE-GGA
State: relaxed

It has space group I-42d (No. 122), with a = 6.784 Å, b = 6.784 Å, c = 5.131 Å, α = 90.00°, β = 90.00° and γ = 90.00°. The inequivalent atoms are Mn at (0.000, 0.000, 0.000), Nb at (0.206, 0.250, 0.625) and B at (0.000, 0.000, 0.500).

Its raw total energy is -138.1 eV for the cell shown.